Compound: Sm3HoTm2
Source: Alexandria via LeMat-Bulk
Functional: PBE-GGA
Structure: relaxed

Geometry as POSCAR:
```
Sm3HoTm2
1.0
-1.274 -3.760 5.989
5.910 -1.960 0.027
0.899 9.348 1.750
Sm Ho Tm
6 2 4
Cartesian
0.366 -3.770 5.232
4.270 -1.949 0.784
0.408 2.924 0.844
2.491 2.625 5.410
3.044 1.004 2.356
5.127 0.705 6.921
3.639 -3.813 3.752
0.997 -1.907 2.264
2.415 -0.896 5.331
-0.224 1.017 3.832
5.758 2.612 3.934
3.119 4.525 2.435
```

As for the space group: C2/c (15). As for the calculated density: 8.2 g/cm³. The formation energy is 1.9 kJ/mol of formula units. The total energy is -4.610 eV/atom.